[1]
16
Lattice="6.454 0.000 0.000 0.000 6.454 0.000 0.000 0.000 9.027" Properties=species:S:1:pos:R:3 comment="PBE-GGA BaAl2O, relaxed" total_energy_ev_per_atom=-4.18 raw_formation_energy_mev_per_atom=-586 sg="I-42d (122)" pbc="T T T"
Ba 0.000 0.000 0.000
Ba 0.000 3.227 2.257
Ba 3.227 0.000 6.770
Ba 3.227 3.227 4.514
Al 0.291 1.613 5.642
Al 1.613 3.518 7.899
Al 1.613 6.163 3.385
Al 2.936 1.613 1.128
Al 3.518 4.840 1.128
Al 4.840 0.291 3.385
Al 4.840 2.936 7.899
Al 6.163 4.840 5.642
O 0.000 0.000 4.514
O 0.000 3.227 6.770
O 3.227 0.000 2.257
O 3.227 3.227 0.000

=====

[2]
16
Lattice="7.076 0.000 0.000 0.000 7.076 0.000 0.000 0.000 7.076" Properties=species:S:1:pos:R:3 comment="PBE-GGA PrGdCuIr, relaxed" total_energy_ev_per_atom=-8.40 formation_energy_ev_per_atom=-0.45 sg="F-43m (216)" pbc="T T T"
Pr 0.000 0.000 0.000
Pr 0.000 3.538 3.538
Pr 3.538 0.000 3.538
Pr 3.538 3.538 0.000
Gd 0.000 0.000 3.538
Gd 0.000 3.538 0.000
Gd 3.538 0.000 0.000
Gd 3.538 3.538 3.538
Cu 1.769 1.769 1.769
Cu 1.769 5.307 5.307
Cu 5.307 1.769 5.307
Cu 5.307 5.307 1.769
Ir 1.769 1.769 5.307
Ir 1.769 5.307 1.769
Ir 5.307 1.769 1.769
Ir 5.307 5.307 5.307

=====

[3]
10
Lattice="4.009 0.000 0.000 0.000 4.009 0.000 0.000 0.000 9.950" Properties=species:S:1:pos:R:3 comment="PBE-GGA Dy2MnNi4Ge3, relaxed" total_energy_ev_per_atom=-6.12 formation_energy_ev_per_atom=-0.58 sg="P-4m2 (115)" pbc="T T T"
Dy 0.000 2.005 2.473
Dy 2.005 0.000 7.477
Mn 0.000 0.000 4.975
Ni 0.000 0.000 0.000
Ni 0.000 2.005 6.328
Ni 2.005 0.000 3.622
Ni 2.005 2.005 0.000
Ge 0.000 2.005 8.659
Ge 2.005 0.000 1.292
Ge 2.005 2.005 4.975

=====

> What is the formula in the second record?

PrGdCuIr